Density functional theory data (PBE+U) for La2CoO4 after structural relaxation.

abc: 5.4354 5.6818 6.7886
angles: 90.00 66.40 90.00
Site moments in Bohr magnetons follow the coordinates.
Element x y z (fractional)
La  0.8622  0.4835  0.2756  0.00
La  0.3622  0.0165  0.2756  0.00
La  0.6378  0.9835  0.7244  0.00
La  0.1378  0.5165  0.7244  0.00
O  0.2690  0.2500  0.9619  -0.09
O  0.2310  0.7500  0.0381  -0.09
O  0.3188  0.4334  0.3623  -0.04
O  0.8188  0.0666  0.3623  -0.04
O  0.1812  0.9334  0.6377  -0.04
O  0.7310  0.7500  0.0381  -0.09
O  0.6812  0.5666  0.6377  -0.04
O  0.7690  0.2500  0.9619  -0.09
Co  0.0000  0.0000  0.0000  -2.69
Co  0.5000  0.5000  0.0000  -2.69

Calculated values
**Energy**: -107.34 eV for the cell shown